1.
First-principles (SCAN) data for SrNiOs2 at its PBEsol-relaxed geometry, as listed in the Alexandria database.

Summary:
For the magnetization, the calculation gives 0.0 μB/cell. Its relative energy among the computed polymorphs is 242 meV per atom. The calculation puts the formation energy at 731 meV per atom.

a = 2.7965 Å, b = 2.7965 Å, c = 8.2057 Å
α = 90.00°, β = 90.00°, γ = 90.00°
Space group P4/mmm (No. 123)
Symmetry-distinct sites (fractional):
1 Sr 0.0000 0.0000 0.0000 x1
2 Ni 0.0000 0.0000 0.5000 x1
3 Os 0.5000 0.5000 0.3104 x2

---

2.
First-principles (SCAN) data for TaNi2Os at its PBEsol-relaxed geometry, as listed in the Alexandria database.

Summary:
For the magnetization, the calculation gives 0.0 μB/cell. The calculation puts the formation energy at -280 meV per atom.

a = 3.7121 Å, b = 3.7121 Å, c = 3.7543 Å
α = 90.00°, β = 90.00°, γ = 90.00°
Space group P4/mmm (No. 123)
Symmetry-distinct sites (fractional):
1 Ta 0.0000 0.0000 0.0000 x1
2 Ni 0.0000 0.5000 0.5000 x2
3 Os 0.5000 0.5000 0.0000 x1

---

3.
First-principles (SCAN) data for TaNi4Os at its PBEsol-relaxed geometry, as listed in the Alexandria database.

Summary:
For the magnetization, the calculation gives 5.8 μB/cell. The calculation puts the formation energy at -183 meV per atom.

a = 6.5707 Å, b = 6.5707 Å, c = 6.5707 Å
α = 90.00°, β = 90.00°, γ = 90.00°
Space group F-43m (No. 216)
Symmetry-distinct sites (fractional):
1 Ta 0.0000 0.0000 0.0000 x4
2 Ni 0.1244 0.1244 0.3756 x16
3 Os 0.2500 0.2500 0.7500 x4

---

4.
First-principles (SCAN) data for Ta2Ni2Os at its PBEsol-relaxed geometry, as listed in the Alexandria database.

Summary:
For the magnetization, the calculation gives 0.0 μB/cell. The calculation puts the formation energy at -321 meV per atom.

a = 6.6605 Å, b = 6.6605 Å, c = 3.1211 Å
α = 90.00°, β = 90.00°, γ = 90.00°
Space group P4/mbm (No. 127)
Symmetry-distinct sites (fractional):
1 Ta 0.1803 0.3197 0.0000 x4
2 Ni 0.1221 0.6221 0.5000 x4
3 Os 0.0000 0.0000 0.5000 x2

---

5.
First-principles (SCAN) data for TcNiOs2 at its PBEsol-relaxed geometry, as listed in the Alexandria database.

Summary:
For the magnetization, the calculation gives 0.0 μB/cell. Its relative energy among the computed polymorphs is 67 meV per atom. The calculation puts the formation energy at 161 meV per atom.

a = 2.6718 Å, b = 2.6718 Å, c = 7.3856 Å
α = 90.00°, β = 90.00°, γ = 90.00°
Space group P4mm (No. 99)
Symmetry-distinct sites (fractional):
1 Tc 0.0000 0.0000 0.0000 x1
2 Ni 0.5000 0.5000 0.2378 x1
3 Os 0.0000 0.0000 0.4801 x1
4 Os 0.5000 0.5000 0.7350 x1

---

6.
First-principles (SCAN) data for TcNiOs2 at its PBEsol-relaxed geometry, as listed in the Alexandria database.

Summary:
For the magnetization, the calculation gives 0.0 μB/cell. Its relative energy among the computed polymorphs is 0 meV per atom. The calculation puts the formation energy at 94 meV per atom.

a = 2.6753 Å, b = 3.7650 Å, c = 5.2327 Å
α = 90.00°, β = 90.00°, γ = 90.00°
Space group Pmm2 (No. 25)
Symmetry-distinct sites (fractional):
1 Tc 0.0000 0.0000 0.0000 x1
2 Ni 0.5000 0.5000 0.2407 x1
3 Os 0.0000 0.0000 0.4818 x1
4 Os 0.5000 0.5000 0.7388 x1

---

7.
First-principles (SCAN) data for TcNiOs2 at its PBEsol-relaxed geometry, as listed in the Alexandria database.

Summary:
For the magnetization, the calculation gives 0.0 μB/cell. Its relative energy among the computed polymorphs is 297 meV per atom. The calculation puts the formation energy at 391 meV per atom.

a = 5.9775 Å, b = 5.9775 Å, c = 5.9775 Å
α = 90.00°, β = 90.00°, γ = 90.00°
Space group Fm-3m (No. 225)
Symmetry-distinct sites (fractional):
1 Tc 0.0000 0.0000 0.0000 x4
2 Ni 0.0000 0.0000 0.5000 x4
3 Os 0.2500 0.2500 0.2500 x8

---

8.
First-principles (SCAN) data for NiTeOs at its PBEsol-relaxed geometry, as listed in the Alexandria database.

Summary:
For the magnetization, the calculation gives 0.0 μB/cell. The value obtained for the uncorrected formation energy is 0.621 eV per atom.

a = 3.2257 Å, b = 3.2257 Å, c = 8.6021 Å
α = 90.00°, β = 90.00°, γ = 90.00°
Space group I4mm (No. 107)
Symmetry-distinct sites (fractional):
1 Ni 0.0000 0.0000 0.0000 x2
2 Te 0.0000 0.0000 0.3494 x2
3 Os 0.0000 0.0000 0.6726 x2

---

9.
First-principles (SCAN) data for NiTe2Os at its PBEsol-relaxed geometry, as listed in the Alexandria database.

Summary:
For the magnetization, the calculation gives 0.0 μB/cell. The value obtained for the uncorrected formation energy is 0.662 eV per atom.

a = 4.6729 Å, b = 4.6729 Å, c = 3.2022 Å
α = 90.00°, β = 90.00°, γ = 90.00°
Space group P4/mmm (No. 123)
Symmetry-distinct sites (fractional):
1 Ni 0.0000 0.0000 0.0000 x1
2 Te 0.0000 0.5000 0.5000 x2
3 Os 0.5000 0.5000 0.0000 x1

---

10.
First-principles (SCAN) data for TlNi2Os at its PBEsol-relaxed geometry, as listed in the Alexandria database.

Summary:
For the magnetization, the calculation gives 0.0 μB/cell. Its relative energy among the computed polymorphs is 29 meV per atom. The calculation puts the formation energy at 575 meV per atom.

a = 2.8006 Å, b = 2.8006 Å, c = 25.2159 Å
α = 90.00°, β = 90.00°, γ = 120.00°
Space group R-3m (No. 166, hexagonal axes)
Symmetry-distinct sites (fractional):
1 Tl 0.0000 0.0000 0.0000 x3
2 Ni 0.0000 0.0000 0.2442 x6
3 Os 0.0000 0.0000 0.5000 x3

---

11.
First-principles (SCAN) data for TlNi2Os at its PBEsol-relaxed geometry, as listed in the Alexandria database.

Summary:
For the magnetization, the calculation gives 0.0 μB/cell. Its relative energy among the computed polymorphs is 61 meV per atom. The calculation puts the formation energy at 607 meV per atom.

a = 4.5062 Å, b = 4.5062 Å, c = 2.7204 Å
α = 90.00°, β = 90.00°, γ = 90.00°
Space group P4/mmm (No. 123)
Symmetry-distinct sites (fractional):
1 Tl 0.0000 0.0000 0.0000 x1
2 Ni 0.0000 0.5000 0.5000 x2
3 Os 0.5000 0.5000 0.0000 x1

---

12.
First-principles (SCAN) data for Tl2NiOs at its PBEsol-relaxed geometry, as listed in the Alexandria database.

Summary:
For the magnetization, the calculation gives 0.5 μB/cell. The calculation puts the formation energy at 941 meV per atom.

a = 6.0004 Å, b = 8.8735 Å, c = 3.0434 Å
α = 90.00°, β = 118.76°, γ = 90.00°
Space group C2/m (No. 12)
Symmetry-distinct sites (fractional):
1 Tl 0.2500 0.2500 0.0000 x4
2 Ni 0.0000 0.0000 0.5000 x2
3 Os 0.0000 0.5000 0.5000 x2

---

13.
First-principles (SCAN) data for TlNi2Os at its PBEsol-relaxed geometry, as listed in the Alexandria database.

Summary:
For the magnetization, the calculation gives 0.0 μB/cell. Its relative energy among the computed polymorphs is 0 meV per atom. The calculation puts the formation energy at 546 meV per atom.

a = 2.7170 Å, b = 4.3294 Å, c = 4.7229 Å
α = 90.00°, β = 90.00°, γ = 90.00°
Space group Pmm2 (No. 25)
Symmetry-distinct sites (fractional):
1 Tl 0.0000 0.0000 0.0000 x1
2 Ni 0.5000 0.0000 0.5052 x1
3 Ni 0.5000 0.5000 0.8260 x1
4 Os 0.0000 0.5000 0.3804 x1

---

14.
First-principles (SCAN) data for NiOsW2 at its PBEsol-relaxed geometry, as listed in the Alexandria database.

Summary:
For the magnetization, the calculation gives 0.0 μB/cell. Its relative energy among the computed polymorphs is 127 meV per atom. The calculation puts the formation energy at 126 meV per atom.

a = 3.1467 Å, b = 3.1467 Å, c = 5.6805 Å
α = 90.00°, β = 90.00°, γ = 90.00°
Space group P4mm (No. 99)
Symmetry-distinct sites (fractional):
1 Ni 0.0000 0.0000 0.0000 x1
2 Os 0.5000 0.5000 0.2485 x1
3 W 0.0000 0.0000 0.5047 x1
4 W 0.5000 0.5000 0.7911 x1

---

15.
First-principles (SCAN) data for NiOsW2 at its PBEsol-relaxed geometry, as listed in the Alexandria database.

Summary:
For the magnetization, the calculation gives 0.0 μB/cell. Its relative energy among the computed polymorphs is 135 meV per atom. The calculation puts the formation energy at 134 meV per atom.

a = 8.8345 Å, b = 2.7891 Å, c = 4.6680 Å
α = 90.00°, β = 100.64°, γ = 90.00°
Space group Cm (No. 8)
Symmetry-distinct sites (fractional):
1 Ni 0.0000 0.0000 0.0000 x2
2 Os 0.2549 0.0000 0.7301 x2
3 W 0.0045 0.5000 0.5023 x2
4 W 0.2439 0.5000 0.2062 x2

---

16.
First-principles (SCAN) data for NiOs2W at its PBEsol-relaxed geometry, as listed in the Alexandria database.

Summary:
For the magnetization, the calculation gives 0.0 μB/cell. Its relative energy among the computed polymorphs is 326 meV per atom. The calculation puts the formation energy at 322 meV per atom.

a = 2.7330 Å, b = 4.3719 Å, c = 9.1449 Å
α = 90.00°, β = 90.00°, γ = 90.00°
Space group Immm (No. 71)
Symmetry-distinct sites (fractional):
1 Ni 0.0000 0.0000 0.0000 x2
2 Os 0.0000 0.5000 0.2789 x4
3 W 0.0000 0.0000 0.5000 x2

---

17.
First-principles (SCAN) data for NiOsW2 at its PBEsol-relaxed geometry, as listed in the Alexandria database.

Summary:
For the magnetization, the calculation gives 0.0 μB/cell. Its relative energy among the computed polymorphs is 90 meV per atom. The calculation puts the formation energy at 89 meV per atom.

a = 2.7648 Å, b = 4.3452 Å, c = 4.6730 Å
α = 90.00°, β = 90.00°, γ = 90.00°
Space group Pmm2 (No. 25)
Symmetry-distinct sites (fractional):
1 Ni 0.0000 0.0000 0.0000 x1
2 Os 0.0000 0.5000 0.6521 x1
3 W 0.5000 0.0000 0.4927 x1
4 W 0.5000 0.5000 0.1370 x1

---

18.
First-principles (SCAN) data for NiOs2W at its PBEsol-relaxed geometry, as listed in the Alexandria database.

Summary:
For the magnetization, the calculation gives 0.0 μB/cell. Its relative energy among the computed polymorphs is 0 meV per atom. The calculation puts the formation energy at -5 meV per atom.

a = 3.8205 Å, b = 3.8205 Å, c = 3.7078 Å
α = 90.00°, β = 90.00°, γ = 90.00°
Space group P4/mmm (No. 123)
Symmetry-distinct sites (fractional):
1 Ni 0.0000 0.0000 0.0000 x1
2 Os 0.0000 0.5000 0.5000 x2
3 W 0.5000 0.5000 0.0000 x1

---

19.
First-principles (SCAN) data for NiOs2W at its PBEsol-relaxed geometry, as listed in the Alexandria database.

Summary:
For the magnetization, the calculation gives 0.0 μB/cell. Its relative energy among the computed polymorphs is 98 meV per atom. The calculation puts the formation energy at 94 meV per atom.

a = 8.6844 Å, b = 2.7081 Å, c = 4.7192 Å
α = 90.00°, β = 99.41°, γ = 90.00°
Space group C2/m (No. 12)
Symmetry-distinct sites (fractional):
1 Ni 0.0000 0.0000 0.0000 x2
2 Os 0.2484 0.5000 0.2324 x4
3 W 0.0000 0.5000 0.5000 x2

---

20.
First-principles (SCAN) data for NiOsW at its PBEsol-relaxed geometry, as listed in the Alexandria database.

Summary:
For the magnetization, the calculation gives 0.0 μB/cell. Its relative energy among the computed polymorphs is 454 meV per atom. The calculation puts the formation energy at 520 meV per atom.

a = 5.7829 Å, b = 5.7829 Å, c = 5.7829 Å
α = 90.00°, β = 90.00°, γ = 90.00°
Space group F-43m (No. 216)
Symmetry-distinct sites (fractional):
1 Ni 0.0000 0.0000 0.0000 x4
2 Os 0.0000 0.0000 0.5000 x4
3 W 0.2500 0.2500 0.7500 x4

---

| no. | VASP energy (eV for the cell shown) |
| --- | --- |
| 1 | -179.28 |
| 2 | -171.93 |
| 3 | -817.01 |
| 4 | -478.00 |
| 5 | -194.35 |
| 6 | -194.62 |
| 7 | -773.71 |
| 8 | -246.88 |
| 9 | -159.91 |
| 10 | -522.85 |
| 11 | -174.16 |
| 12 | -458.01 |
| 13 | -174.40 |
| 14 | -226.92 |
| 15 | -453.79 |
| 16 | -456.67 |
| 17 | -227.07 |
| 18 | -229.64 |
| 19 | -458.49 |
| 20 | -624.72 |